(1)
# Pu2CuPd4

An optimized crystal structure of Pu2CuPd4 (PBE-GGA, Alexandria).

Results
raw total energy = -7.77 eV per atom
formation energy from the elements = -0.120 eV per atom
crystal system = orthorhombic

The structure in extended XYZ format:
```
7
Lattice="-4.083 0.176 -1.778 1.405 -3.450 -3.570 -2.708 -3.340 5.889" Properties=species:S:1:pos:R:3 pbc="T T T"
Pu -2.670 -1.500 0.398
Pu -2.715 -5.114 0.144
Cu 0.703 -1.725 -1.785
Pd -1.723 -2.608 -1.887
Pd -0.125 -3.814 -0.092
Pd -3.662 -4.006 2.429
Pd -1.178 -2.976 2.411
```

---

(2)
# Pu3Cu2Pd3

An optimized crystal structure of Pu3Cu2Pd3 (PBE-GGA, Alexandria).

Results
energy above the lowest structure with this stoichiometry = 0.00 kcal/mol of atoms
raw total energy = -8.63 eV per atom
formation energy from the elements = -0.285 eV per atom
crystal system = orthorhombic

The structure in extended XYZ format:
```
16
Lattice="4.375 0.000 0.000 -2.187 5.247 0.000 0.000 0.000 14.106" Properties=species:S:1:pos:R:3 pbc="T T T"
Pu 2.187 4.421 5.550
Pu 0.000 0.826 12.603
Pu 2.187 4.421 1.503
Pu 0.000 0.826 8.556
Pu 2.187 1.583 3.527
Pu 0.000 3.664 10.580
Cu 2.187 2.954 12.697
Cu 0.000 2.293 5.644
Cu 2.187 2.954 8.462
Cu 0.000 2.293 1.409
Pd 2.187 1.219 6.428
Pd 0.000 4.028 13.481
Pd 2.187 1.219 0.625
Pd 0.000 4.028 7.678
Pd 0.000 3.841 3.527
Pd 2.187 1.406 10.580
```

---

(3)
# PuCu2Pd

An optimized crystal structure of PuCu2Pd (PBE-GGA, Alexandria).

Results
raw total energy = -7.09 eV per atom
formation energy from the elements = -0.164 eV per atom
crystal system = orthorhombic

The structure in extended XYZ format:
```
8
Lattice="-1.392 -4.100 -0.483 2.900 0.806 4.452 -5.472 1.469 3.298" Properties=species:S:1:pos:R:3 pbc="T T T"
Pu -0.227 -2.720 4.094
Pu -3.737 0.895 3.173
Cu -3.460 0.434 6.289
Cu -0.504 -2.259 0.978
Cu -2.561 -1.706 2.218
Cu -1.403 -0.119 5.049
Pd -0.451 -0.151 2.577
Pd -3.513 -1.675 4.690
```

---

(4)
# PuCuPd14

An optimized crystal structure of PuCuPd14 (PBE-GGA, Alexandria).

Results
raw total energy = -5.84 eV per atom
formation energy from the elements = -0.149 eV per atom
crystal system = orthorhombic

The structure in extended XYZ format:
```
16
Lattice="5.685 -0.012 0.000 0.012 5.685 0.000 0.000 0.000 7.862" Properties=species:S:1:pos:R:3 pbc="T T T"
Pu 4.985 4.964 3.931
Cu 2.132 2.123 3.931
Pd 4.985 4.964 0.000
Pd 2.137 2.128 0.000
Pd 4.978 2.121 3.931
Pd 4.979 2.122 0.000
Pd 2.143 4.969 3.931
Pd 2.143 4.970 0.000
Pd 3.537 0.721 1.967
Pd 3.537 0.721 5.895
Pd 0.736 3.534 1.967
Pd 0.736 3.534 5.895
Pd 3.543 3.528 1.968
Pd 3.543 3.528 5.894
Pd 0.730 0.727 1.967
Pd 0.730 0.727 5.895
```

---

(5)
# PuCu5Pd6

An optimized crystal structure of PuCu5Pd6 (PBE-GGA, Alexandria).

Results
raw total energy = -5.71 eV per atom
formation energy from the elements = -0.211 eV per atom
crystal system = orthorhombic

The structure in extended XYZ format:
```
12
Lattice="3.922 -0.020 1.307 0.033 7.085 0.011 0.020 -0.010 6.477" Properties=species:S:1:pos:R:3 pbc="T T T"
Pd 3.288 5.199 3.290
Pd 3.272 1.845 3.285
Pd 1.970 1.875 0.656
Pd 1.985 5.189 0.662
Pd 0.703 5.210 4.510
Pd 0.687 1.855 4.505
Cu 2.638 3.522 5.214
Cu 1.268 -0.010 2.732
Cu 0.017 3.542 0.006
Cu 2.674 -0.020 5.052
Cu 1.337 3.532 2.581
Pu 0.000 0.000 0.000
```

---

(6)
# Pu3Cu7Pd2

An optimized crystal structure of Pu3Cu7Pd2 (PBE-GGA, Alexandria).

Results
raw total energy = -6.98 eV per atom
formation energy from the elements = -0.139 eV per atom
crystal system = trigonal

The structure in extended XYZ format:
```
12
Lattice="-3.856 0.872 -3.336 -4.834 0.612 1.737 -1.574 8.979 0.157" Properties=species:S:1:pos:R:3 pbc="T T T"
Pu 0.000 0.000 0.000
Pu -8.114 5.176 -1.299
Pu -2.150 5.287 -0.143
Cu -5.132 5.232 -0.721
Cu -5.937 3.326 -2.289
Cu -6.425 3.196 0.241
Cu -4.013 2.891 -0.625
Cu -4.327 7.137 0.848
Cu -6.251 7.572 -0.816
Cu -3.839 7.267 -1.683
Pd -7.371 9.948 -0.911
Pd -2.893 0.515 -0.531
```